Entry 1:
A geometry-optimized Ti6Zn3C structure, computed with PBE.

Cell and atoms, written as extended XYZ:
```
10
Lattice="5.3069 -1.1711 -0.8273 1.9491 5.5018 0.4442 1.9491 2.2574 5.0370" Properties=species:S:1:pos:R:3 pbc="T T T"
Ti 3.2667 4.6688 3.2981
Ti 3.3621 3.2965 0.6507
Ti 5.8430 3.2916 4.0033
Ti 5.8430 4.8732 1.7645
Ti 3.3621 1.7149 2.8895
Ti 5.9384 1.9193 1.3559
Zn 7.3371 5.4936 3.8808
Zn 1.8680 1.0945 0.7732
Zn 0.0000 0.0000 0.0000
C 4.6026 3.2941 2.3270
```

Calculated values
- E_tot: -6.1907 eV/atom
- Magnetization: 0.00 μB/cell
- Theoretical density: 5.22 Mg/m³
- ΔE_f: -149 meV per atom
- SG: C2/m (12)



Entry 2:
A geometry-optimized Te2AuNCl structure, computed with PBE.

Cell and atoms, written as extended XYZ:
```
5
Lattice="6.1452 0.0000 0.0000 0.0000 6.1452 0.0000 0.0000 0.0000 3.2256" Properties=species:S:1:pos:R:3 pbc="T T T"
Cl 0.0000 0.0000 0.0000
Te 0.0000 3.0726 0.0000
Te 3.0726 0.0000 0.0000
N 0.0000 0.0000 1.6128
Au 3.0726 3.0726 1.6128
```

Calculated values
- E_tot: -2.5819 eV/atom
- Magnetization: 0.00 μB/cell
- Theoretical density: 6.84 Mg/m³
- Uncorrected formation energy: 1.3647 eV/atom
- SG: P4/mmm (123)
- Energy above the lowest structure with this stoichiometry: 377 meV per atom



Entry 3:
A geometry-optimized In4Hg3Pb structure, computed with PBE.

Cell and atoms, written as extended XYZ:
```
8
Lattice="4.6108 0.0000 0.0000 2.3054 3.9930 0.0000 2.3054 1.3310 12.4255" Properties=species:S:1:pos:R:3 pbc="T T T"
Hg 4.6108 2.6620 6.2127
Hg 2.3054 1.3310 3.1583
Hg 6.9162 3.9930 9.2671
In 4.6108 2.6620 1.7580
In 6.9162 3.9930 4.6887
In 4.6108 2.6620 10.6675
In 2.3054 1.3310 7.7367
Pb 0.0000 0.0000 0.0000
```

Calculated values
- E_tot: -1.9005 eV/atom
- Magnetization: 0.00 μB/cell
- Theoretical density: 9.21 Mg/m³
- ΔE_f: 45 meV per atom
- SG: R-3m (166)
- Energy above the lowest structure with this stoichiometry: 28 meV per atom



Entry 4:
A geometry-optimized LiSmSn4 structure, computed with PBE.

Cell and atoms, written as extended XYZ:
```
6
Lattice="6.1692 0.0000 0.0000 3.0846 5.3427 0.0000 3.0846 1.7809 5.0371" Properties=species:S:1:pos:R:3 pbc="T T T"
Li 3.0846 1.7809 1.2593
Sm 0.0000 0.0000 0.0000
Sn 6.1692 3.5618 0.6309
Sn 7.7105 4.4516 3.1478
Sn 6.1692 1.7821 3.1478
Sn 4.6280 4.4516 3.1478
```

Calculated values
- E_tot: -4.0137 eV/atom
- Magnetization: 0.00 μB/cell
- Theoretical density: 6.32 Mg/m³
- ΔE_f: -240 meV per atom
- SG: F-43m (216)